Material: CoRe3Cl
Method: DFT, GGA-PBEsol
State: relaxed

```
CoRe3Cl
1.0
4.444 0.000 0.000
0.000 4.444 0.000
0.000 0.000 4.444
Co Re Cl
1 3 1
Cartesian
0.000 0.000 0.000
0.000 0.000 2.222
0.000 2.222 0.000
2.222 0.000 0.000
2.222 2.222 2.222
```

## Properties
Raw formation energy in eV/atom: 2.272
Calculated density in g/cm3: 12.358
Calculated volume in Å³ per atom: 17.55

***

Material: BaSr3Ir
Method: DFT, GGA-PBEsol
State: relaxed

```
BaSr3Ir
1.0
5.919 0.000 0.000
0.000 5.919 0.000
0.000 0.000 5.919
Ba Sr Ir
1 3 1
Cartesian
0.000 0.000 0.000
0.000 2.959 2.959
2.959 0.000 2.959
2.959 2.959 0.000
2.959 2.959 2.959
```

## Properties
Polymorph energy (0 for the lowest one) in meV per atom: 81.5
Calculated density in g/cm3: 4.745
Calculated formation energy in meV per atom: -35
Calculated volume in Å³ per atom: 41.46

***

Material: K3PbO
Method: DFT, GGA-PBEsol
State: relaxed

```
K3PbO
1.0
5.405 0.000 0.000
0.000 5.405 0.000
0.000 0.000 5.405
K Pb O
3 1 1
Cartesian
0.000 0.000 2.702
0.000 2.702 0.000
2.702 0.000 0.000
2.702 2.702 2.702
0.000 0.000 0.000
```

## Properties
Raw formation energy in eV/atom: -0.406
Calculated density in g/cm3: 3.581
Calculated volume in Å³ per atom: 31.58

***

Material: SeBr2
Method: DFT, GGA-PBEsol
State: relaxed

```
SeBr2
1.0
1.696 -12.175 0.000
1.696 12.175 0.000
0.000 0.000 3.987
Se Br
2 4
Cartesian
1.696 9.028 2.990
1.696 -9.028 0.997
1.696 7.423 0.997
1.696 1.653 2.990
1.696 -1.653 0.997
1.696 -7.423 2.990
```

## Properties
Polymorph energy (0 for the lowest one) in meV per atom: 295.7
Raw formation energy in eV/atom: 0.289
Calculated density in g/cm3: 4.816
Calculated volume in Å³ per atom: 27.44

***

Material: K2Sb
Method: DFT, GGA-PBEsol
State: relaxed

```
K2Sb
1.0
5.668 0.000 0.000
-2.834 4.909 0.000
0.000 0.000 3.495
K Sb
2 1
Cartesian
0.000 3.272 1.733
2.834 1.636 1.761
0.000 0.000 0.000
```

## Properties
Polymorph energy (0 for the lowest one) in meV per atom: 40.2
Raw formation energy in eV/atom: -0.357
Calculated density in g/cm3: 3.415
Calculated volume in Å³ per atom: 32.41

***

Material: RuRh2W
Method: DFT, GGA-PBEsol
State: relaxed

```
RuRh2W
1.0
3.258 0.000 0.000
0.000 3.258 0.000
0.000 0.000 5.371
Ru Rh W
1 2 1
Cartesian
0.000 0.000 0.000
1.629 1.629 1.343
1.629 1.629 4.028
0.000 0.000 2.686
```

## Properties
Polymorph energy (0 for the lowest one) in meV per atom: 409.5
Calculated density in g/cm3: 14.289
Calculated formation energy in meV per atom: 214
Calculated volume in Å³ per atom: 14.26

***

Material: PdSeS
Method: DFT, GGA-PBEsol
State: relaxed

```
PdSeS
1.0
5.601 0.000 0.000
0.000 5.705 0.000
0.000 0.000 7.450
Pd Se S
4 4 4
Cartesian
0.106 0.047 3.708
2.694 5.658 7.433
2.907 2.805 3.742
5.495 2.899 0.017
0.692 3.505 2.999
2.108 2.200 6.725
3.493 5.052 4.451
4.909 0.653 0.726
0.537 5.035 6.825
2.264 0.670 3.100
3.337 3.522 0.625
5.065 2.182 4.350
```

## Properties
Raw formation energy in eV/atom: -0.293
Calculated density in g/cm3: 6.067
Calculated volume in Å³ per atom: 19.84

***

Material: KCaPb4
Method: DFT, GGA-PBEsol
State: relaxed

```
KCaPb4
1.0
0.000 4.606 4.606
4.606 0.000 4.606
4.606 4.606 0.000
K Ca Pb
1 1 4
Cartesian
0.000 0.000 0.000
6.909 6.909 6.909
3.460 3.460 3.460
5.752 5.752 3.460
5.752 3.460 5.752
3.460 5.752 5.752
```

## Properties
Calculated density in g/cm3: 7.715
Calculated formation energy in meV per atom: -222
Calculated volume in Å³ per atom: 32.57

***

Material: KIn4Pb
Method: DFT, GGA-PBEsol
State: relaxed

```
KIn4Pb
1.0
0.000 4.390 4.390
4.390 0.000 4.390
4.390 4.390 0.000
K In Pb
1 4 1
Cartesian
0.000 0.000 0.000
5.484 3.296 3.296
3.296 5.484 3.296
3.296 3.296 5.484
5.484 5.484 5.484
2.195 2.195 2.195
```

## Properties
Calculated density in g/cm3: 6.926
Calculated formation energy in meV per atom: -33
Calculated volume in Å³ per atom: 28.19

***

Material: IrPbAu
Method: DFT, GGA-PBEsol
State: relaxed

```
IrPbAu
1.0
-1.570 1.956 4.475
1.570 -1.956 4.475
1.570 1.956 -4.475
Ir Pb Au
1 1 1
Cartesian
0.000 0.000 0.000
0.000 0.000 5.949
0.000 0.000 3.062
```

## Properties
Polymorph energy (0 for the lowest one) in meV per atom: 0.0
Calculated density in g/cm3: 18.020
Calculated formation energy in meV per atom: 474
Calculated volume in Å³ per atom: 18.32

***

Material: TeBrCl
Method: DFT, GGA-PBEsol
State: relaxed

```
TeBrCl
1.0
0.000 3.558 6.814
1.932 0.000 6.814
1.932 3.558 0.000
Te Br Cl
1 1 1
Cartesian
0.000 0.000 0.000
1.932 3.558 4.860
1.932 3.558 8.609
```

## Properties
Raw formation energy in eV/atom: -0.222
Calculated density in g/cm3: 4.308
Calculated volume in Å³ per atom: 31.22

***

Material: BaCaPt
Method: DFT, GGA-PBEsol
State: relaxed

```
BaCaPt
1.0
4.358 0.000 0.000
-2.179 3.774 0.000
0.000 0.000 6.703
Ba Ca Pt
1 1 1
Cartesian
0.000 0.000 0.000
0.000 2.516 3.090
2.179 1.258 1.760
```

## Properties
Calculated density in g/cm3: 5.610
Calculated formation energy in meV per atom: -532
Calculated volume in Å³ per atom: 36.75

***

Material: CuTcTe2F
Method: DFT, GGA-PBEsol
State: relaxed

```
CuTcTe2F
1.0
5.188 0.000 0.000
0.000 5.188 0.000
0.000 0.000 3.890
Cu Tc Te F
1 1 2 1
Cartesian
0.000 0.000 0.000
2.594 2.594 1.945
0.000 2.594 1.945
2.594 0.000 1.945
2.594 2.594 0.000
```

## Properties
Raw formation energy in eV/atom: 0.050
Calculated density in g/cm3: 6.910
Calculated volume in Å³ per atom: 20.94

***

Material: MnPtN2
Method: DFT, GGA-PBEsol
State: relaxed

```
MnPtN2
1.0
1.340 0.774 6.227
-1.340 0.774 6.227
0.000 -1.547 6.227
Mn Pt N
1 1 2
Cartesian
0.000 0.000 0.000
0.000 0.000 9.341
0.000 0.000 7.372
0.000 0.000 11.309
```

## Properties
Raw formation energy in eV/atom: -0.091
Calculated density in g/cm3: 11.922
Calculated volume in Å³ per atom: 9.68

***

Material: La2YMo
Method: DFT, GGA-PBEsol
State: relaxed

```
La2YMo
1.0
3.527 0.000 0.000
0.000 3.527 0.000
0.000 0.000 8.595
La Y Mo
2 1 1
Cartesian
0.000 0.000 0.000
1.763 1.763 2.431
0.000 0.000 5.222
1.763 1.763 6.970
```

## Properties
Polymorph energy (0 for the lowest one) in meV per atom: 0.0
Calculated density in g/cm3: 7.187
Calculated formation energy in meV per atom: 308
Calculated volume in Å³ per atom: 26.72

***

Material: Li2MgZn
Method: DFT, GGA-PBEsol
State: relaxed

```
Li2MgZn
1.0
2.776 -4.776 0.000
2.776 4.776 0.000
-1.156 0.000 2.589
Li Mg Zn
2 1 1
Cartesian
1.388 2.388 0.000
1.388 -2.388 0.000
-0.578 0.000 1.295
2.198 0.000 1.295
```

## Properties
Calculated density in g/cm3: 2.506
Calculated formation energy in meV per atom: -49
Calculated volume in Å³ per atom: 17.16

***

Material: ZnB3Ir4
Method: DFT, GGA-PBEsol
State: relaxed

```
ZnB3Ir4
1.0
2.786 0.000 0.000
0.000 2.815 0.000
0.000 0.000 23.271
Zn B Ir
2 6 8
Cartesian
0.000 0.000 0.000
1.393 0.000 11.636
0.000 0.000 2.835
0.000 0.000 20.436
0.000 1.407 5.575
0.000 1.407 17.696
1.393 0.000 8.780
1.393 0.000 14.491
0.000 0.000 7.154
0.000 0.000 16.117
0.000 1.407 9.721
0.000 1.407 13.550
1.393 0.000 4.571
1.393 0.000 18.700
1.393 1.407 1.946
1.393 1.407 21.325
```

## Properties
Calculated density in g/cm3: 15.769
Calculated formation energy in meV per atom: -280
Calculated volume in Å³ per atom: 11.41

***

Material: Sr2Be2Cu
Method: DFT, GGA-PBEsol
State: relaxed

```
Sr2Be2Cu
1.0
-1.680 1.680 9.499
1.680 -1.680 9.499
1.680 1.680 -9.499
Sr Be Cu
2 2 1
Cartesian
0.000 0.000 1.956
0.000 0.000 17.041
1.680 0.000 4.749
0.000 1.680 4.749
0.000 0.000 9.499
```

## Properties
Calculated density in g/cm3: 3.978
Calculated formation energy in meV per atom: 521
Calculated volume in Å³ per atom: 21.44

***

Material: ZrBi3S
Method: DFT, GGA-PBEsol
State: relaxed

```
ZrBi3S
1.0
5.519 0.000 0.000
0.000 5.519 0.000
0.000 0.000 5.519
Zr Bi S
1 3 1
Cartesian
0.000 0.000 0.000
0.000 0.000 2.760
0.000 2.760 0.000
2.760 0.000 0.000
2.760 2.760 2.760
```

## Properties
Raw formation energy in eV/atom: 0.541
Calculated density in g/cm3: 7.410
Calculated volume in Å³ per atom: 33.62

***

Material: Li4Mg5
Method: DFT, GGA-PBEsol
State: relaxed

```
Li4Mg5
1.0
8.383 0.000 0.000
-4.191 7.260 0.000
0.000 0.000 5.924
Li Mg
8 10
Cartesian
0.000 0.000 0.000
0.000 0.000 2.962
-1.513 2.621 1.481
-2.678 4.639 4.443
3.026 0.000 1.481
1.513 2.621 4.443
5.357 0.000 4.443
2.678 4.639 1.481
-1.271 2.201 4.443
-2.920 5.058 1.481
2.542 0.000 4.443
1.271 2.201 1.481
0.000 4.840 0.000
0.000 4.840 2.962
4.191 2.420 0.000
4.191 2.420 2.962
5.841 0.000 1.481
2.920 5.058 4.443
```

## Properties
Polymorph energy (0 for the lowest one) in meV per atom: 0.0
Calculated density in g/cm3: 1.375
Calculated formation energy in meV per atom: -37
Calculated volume in Å³ per atom: 20.03

***

Material: CaTa2Mn
Method: DFT, GGA-PBEsol
State: relaxed

```
CaTa2Mn
1.0
1.530 0.883 9.225
-1.530 0.883 9.225
0.000 -1.766 9.225
Ca Ta Mn
1 2 1
Cartesian
0.000 0.000 0.000
0.000 0.000 6.388
0.000 0.000 21.288
0.000 0.000 13.838
```

## Properties
Polymorph energy (0 for the lowest one) in meV per atom: 0.0
Calculated density in g/cm3: 10.148
Calculated formation energy in meV per atom: 584
Calculated volume in Å³ per atom: 18.69

***

Material: CaTa2HgPd
Method: DFT, GGA-PBEsol
State: relaxed

```
CaTa2HgPd
1.0
4.825 0.000 0.000
0.000 4.825 0.000
0.000 0.000 5.236
Ca Ta Hg Pd
1 2 1 1
Cartesian
0.000 0.000 0.000
0.000 2.413 2.618
2.413 0.000 2.618
2.413 2.413 0.000
0.000 0.000 2.618
```

## Properties
Calculated density in g/cm3: 9.658
Calculated formation energy in meV per atom: 972
Calculated volume in Å³ per atom: 24.38

***

Material: ZrSb5
Method: DFT, GGA-PBEsol
State: relaxed

```
ZrSb5
1.0
5.814 0.000 0.000
-2.907 5.035 0.000
0.000 0.000 5.726
Zr Sb
1 5
Cartesian
0.000 0.000 0.000
-1.454 2.518 2.863
0.000 3.357 0.000
2.907 0.000 2.863
1.454 2.518 2.863
2.907 1.678 0.000
```

## Properties
Polymorph energy (0 for the lowest one) in meV per atom: 534.3
Raw formation energy in eV/atom: 0.455
Calculated density in g/cm3: 6.934
Calculated volume in Å³ per atom: 27.94

***

Material: CuSbAs2Au
Method: DFT, GGA-PBEsol
State: relaxed

```
CuSbAs2Au
1.0
4.637 0.000 0.000
0.000 4.637 0.000
0.000 0.000 4.815
Cu Sb As Au
1 1 2 1
Cartesian
0.000 0.000 0.000
2.319 2.319 2.407
0.000 2.319 0.000
2.319 0.000 0.000
0.000 0.000 2.407
```

## Properties
Raw formation energy in eV/atom: 0.501
Calculated density in g/cm3: 8.535
Calculated volume in Å³ per atom: 20.71

***

Material: SrCdAg
Method: DFT, GGA-PBEsol
State: relaxed

```
SrCdAg
1.0
4.835 0.000 0.000
-2.418 4.188 0.000
0.000 0.000 3.983
Sr Cd Ag
1 1 1
Cartesian
0.000 0.000 0.000
2.418 1.396 1.992
0.000 2.792 1.992
```

## Properties
Calculated density in g/cm3: 6.339
Calculated formation energy in meV per atom: -280
Calculated volume in Å³ per atom: 26.89

***

Material: Mg2ZrPt
Method: DFT, GGA-PBEsol
State: relaxed

```
Mg2ZrPt
1.0
2.973 0.000 0.000
0.000 2.973 0.000
0.000 0.000 8.381
Mg Zr Pt
2 1 1
Cartesian
0.000 0.000 1.719
0.000 0.000 6.662
1.486 1.486 4.190
1.486 1.486 0.000
```

## Properties
Calculated density in g/cm3: 7.508
Calculated formation energy in meV per atom: -351
Calculated volume in Å³ per atom: 18.52

***

Material: Li2MnO3
Method: DFT, GGA-PBEsol
State: relaxed

```
Li2MnO3
1.0
6.152 -1.413 0.000
6.152 1.413 0.000
-1.393 0.000 5.633
Li Mn O
4 2 6
Cartesian
0.000 0.000 0.000
-0.697 0.000 2.816
3.304 0.000 3.739
7.606 0.000 1.893
3.938 0.000 0.983
6.972 0.000 4.650
1.247 0.000 3.464
2.033 0.000 0.343
5.666 0.000 1.372
5.245 0.000 4.261
8.878 0.000 5.290
9.664 0.000 2.169
```

## Properties
Raw formation energy in eV/atom: -1.951
Calculated density in g/cm3: 3.962
Calculated volume in Å³ per atom: 8.16

***

Material: InTeAu
Method: DFT, GGA-PBEsol
State: relaxed

```
InTeAu
1.0
4.123 0.000 0.000
-2.061 3.570 0.000
0.000 0.000 4.975
In Te Au
1 1 1
Cartesian
0.000 0.000 0.000
2.061 1.190 2.968
0.000 2.380 1.451
```

## Properties
Raw formation energy in eV/atom: -0.164
Calculated density in g/cm3: 9.964
Calculated volume in Å³ per atom: 24.41